# 1
TbMgSc2 | PBE | relaxed

Cell lengths 4.6701, 4.6701, 4.7560 Å; angles 90.00, 90.00, 90.00 degrees
With the nearest neighbours (Å) after each atom.
Fractional positions:
Tb (0.0000, 0.0000, 0.0000)  4 Mg 3.30, 8 Sc 3.33
Mg (0.5000, 0.5000, 0.0000)  4 Tb 3.30, 8 Sc 3.33
Sc (0.0000, 0.5000, 0.5000)  4 Sc 3.30, 4 Tb 3.33, 4 Mg 3.33
Sc (0.5000, 0.0000, 0.5000)  4 Sc 3.30, 4 Tb 3.33, 4 Mg 3.33

- DOS(E_F): 7.5 states/eV/cell
- Energy of formation: 0.05 eV/atom
- Energy: -18.7 eV for the cell shown

# 2
PmCrSn2 | PBE | relaxed

Cell lengths 4.6825, 4.6825, 4.4459 Å; angles 90.00, 90.00, 90.00 degrees
With the nearest neighbours (Å) after each atom.
Fractional positions:
Pm (0.0000, 0.0000, 0.0000)  8 Sn 3.23, 4 Cr 3.31
Cr (0.5000, 0.5000, 0.0000)  8 Sn 3.23, 4 Pm 3.31
Sn (0.0000, 0.5000, 0.5000)  4 Cr 3.23, 4 Pm 3.23, 4 Sn 3.31
Sn (0.5000, 0.0000, 0.5000)  4 Cr 3.23, 4 Pm 3.23, 4 Sn 3.31

- DOS(E_F): 2.6 states/eV/cell
- Energy of formation: -0.18 eV/atom
- Energy: -23.1 eV for the cell shown

# 3
LiMn2Al | PBE | relaxed

Cell lengths 2.8346, 2.8346, 6.0535 Å; angles 90.00, 90.00, 90.00 degrees
With the nearest neighbours (Å) after each atom.
Fractional positions:
Li (0.0000, 0.0000, 0.0000)  5 Mn 2.55-2.77, 4 Al 2.60, 4 Li 2.83
Mn (0.0000, 0.0000, 0.4581)  4 Mn 2.34, 4 Al 2.58
Mn (0.5000, 0.5000, 0.2595)  4 Mn 2.34, 4 Li 2.55
Al (0.5000, 0.5000, 0.7264)  5 Mn 2.58-2.83, 4 Li 2.60, 4 Al 2.83

- DOS(E_F): 1.6 states/eV/cell
- Energy of formation: -0.02 eV/atom
- Energy: -24.1 eV for the cell shown

# 4
Li3Pm2Cu12Ir | PBE | relaxed

Cell lengths 12.8817, 12.8817, 12.8817 Å; angles 22.90, 22.90, 22.90 degrees
With the nearest neighbours (Å) after each atom.
Fractional positions:
Li (0.0000, 0.5000, 0.5000)  4 Li 2.56, 4 Cu 2.57
Li (0.5000, 0.0000, 0.5000)  4 Li 2.56, 4 Cu 2.57
Li (0.5000, 0.5000, 0.0000)  4 Li 2.56, 4 Cu 2.57
Pm (0.1453, 0.1453, 0.1453)  6 Cu 2.92, 3 Ir 3.06
Pm (0.8547, 0.8547, 0.8547)  6 Cu 2.92, 3 Ir 3.06
Cu (0.1071, 0.1071, 0.6195)  6 Cu 2.48-2.62, 2 Li 2.57
Cu (0.1071, 0.6195, 0.1071)  6 Cu 2.48-2.62, 2 Li 2.57
Cu (0.1110, 0.6063, 0.6063)  6 Cu 2.48-2.58, 1 Ir 2.65
Cu (0.3805, 0.8929, 0.8929)  6 Cu 2.48-2.62, 2 Li 2.57
Cu (0.3937, 0.3937, 0.8890)  6 Cu 2.48-2.58, 1 Ir 2.65
Cu (0.3937, 0.8890, 0.3937)  6 Cu 2.48-2.58, 1 Ir 2.65
Cu (0.6063, 0.1110, 0.6063)  6 Cu 2.48-2.58, 1 Ir 2.65
Cu (0.6063, 0.6063, 0.1110)  6 Cu 2.48-2.58, 1 Ir 2.65
Cu (0.6195, 0.1071, 0.1071)  6 Cu 2.48-2.62, 2 Li 2.57
Cu (0.8890, 0.3937, 0.3937)  6 Cu 2.48-2.58, 1 Ir 2.65
Cu (0.8929, 0.3805, 0.8929)  6 Cu 2.48-2.62, 2 Li 2.57
Cu (0.8929, 0.8929, 0.3805)  6 Cu 2.48-2.62, 2 Li 2.57
Ir (0.5000, 0.5000, 0.5000)  6 Cu 2.65

- DOS(E_F): 9.6 states/eV/cell
- Energy of formation: 0.05 eV/atom
- Energy: -72.4 eV for the cell shown

Among the records above, which one has the lowest DOS(E_F)? LiMn2Al

What is the energy in the fourth record? -72.4 eV for the cell shown